Entry 1:
Compound: YCdS2N
Source: Alexandria via LeMat-Bulk
Functional: PBE
Structure: optimized geometry

- Excess energy over the best structure of this formula in the dataset: 0.000 eV/atom
- Formation energy from raw total energies: 46 meV per atom

Cell: 5.308 4.497 5.308 Å, 90.00 90.00 90.00°
Fractional positions:
S (0.500, 0.000, 0.000)
S (0.000, 0.000, 0.500)
N (0.000, 0.500, 0.000)
Y (0.000, 0.000, 0.000)
Cd (0.500, 0.500, 0.500)



Entry 2:
Compound: TmMg2PaN4
Source: Alexandria via LeMat-Bulk
Functional: PBE
Structure: optimized geometry

- Formation energy from raw total energies: -1335 meV per atom

Cell: 3.452 5.540 5.839 Å, 70.70 90.00 90.00°
Fractional positions:
Mg (0.500, 0.000, 0.500)
Mg (0.000, 0.000, 0.000)
N (0.000, 0.261, 0.254)
N (0.500, 0.259, 0.738)
N (0.000, 0.739, 0.746)
N (0.500, 0.741, 0.262)
Tm (0.500, 0.500, 0.000)
Pa (0.000, 0.500, 0.500)



Entry 3:
Compound: AgTeAs2Br
Source: Alexandria via LeMat-Bulk
Functional: PBE
Structure: optimized geometry

- Excess energy over the best structure of this formula in the dataset: 0.000 eV/atom
- Formation energy from raw total energies: 665 meV per atom

Cell: 5.151 5.151 5.015 Å, 90.00 90.00 90.00°
Fractional positions:
Br (0.000, 0.000, 0.500)
Ag (0.000, 0.000, 0.000)
As (0.500, 0.000, 0.000)
As (0.000, 0.500, 0.000)
Te (0.500, 0.500, 0.500)



Entry 4:
Compound: Cu4BiPd15
Source: Alexandria via LeMat-Bulk
Functional: PBE
Structure: optimized geometry

- ΔE_f: -0.0930 eV/atom

Cell: 3.957 3.957 19.538 Å, 90.00 90.00 90.00°
Fractional positions:
Pd (0.500, 0.500, 0.596)
Pd (0.000, 0.500, 0.500)
Pd (0.500, 0.000, 0.112)
Pd (0.000, 0.500, 0.694)
Pd (0.500, 0.000, 0.694)
Pd (0.500, 0.000, 0.500)
Pd (0.000, 0.500, 0.306)
Pd (0.000, 0.500, 0.112)
Pd (0.000, 0.500, 0.888)
Pd (0.500, 0.500, 0.209)
Pd (0.500, 0.500, 0.791)
Pd (0.500, 0.000, 0.306)
Pd (0.500, 0.000, 0.888)
Pd (0.500, 0.500, 0.000)
Pd (0.500, 0.500, 0.404)
Bi (0.000, 0.000, 0.000)
Cu (0.000, 0.000, 0.210)
Cu (0.000, 0.000, 0.790)
Cu (0.000, 0.000, 0.597)
Cu (0.000, 0.000, 0.403)



Number 1: N(E_F) 0.43 states/eV per atom. Number 2: N(E_F) 0.00 states/eV per atom. Number 3: N(E_F) 0.77 states/eV per atom. Number 4: N(E_F) 1.04 states/eV per atom.